Record 1
# InNi2Ir, relaxed, DFT PBE-GGA
# * space group: C2/m, No. 12
data_InNi2Ir
_chemical_formula_sum 'In1 Ni2 Ir1'
_cell_length_a 4.567
_cell_length_b 4.567
_cell_length_c 4.735
_cell_angle_alpha 78.97
_cell_angle_beta 78.97
_cell_angle_gamma 36.79
_space_group_name_H-M_alt 'P 1'
_space_group_IT_number 1
loop_
_space_group_symop_operation_xyz
'x,y,z'
loop_
_atom_site_label
_atom_site_type_symbol
_atom_site_fract_x
_atom_site_fract_y
_atom_site_fract_z
Ni1 Ni 0.506 0.506 0.468
Ni2 Ni 0.994 0.994 0.032
Ir1 Ir 0.250 0.250 0.250
In1 In 0.750 0.750 0.750

=====

Record 2
# InNi2Ir, relaxed, DFT PBE-GGA
# * space group: Pmmm, No. 47
data_InNi2Ir
_chemical_formula_sum 'In1 Ni2 Ir1'
_cell_length_a 2.785
_cell_length_b 3.596
_cell_length_c 5.675
_cell_angle_alpha 90.00
_cell_angle_beta 90.00
_cell_angle_gamma 90.00
_space_group_name_H-M_alt 'P 1'
_space_group_IT_number 1
loop_
_space_group_symop_operation_xyz
'x,y,z'
loop_
_atom_site_label
_atom_site_type_symbol
_atom_site_fract_x
_atom_site_fract_y
_atom_site_fract_z
Ni1 Ni 0.000 0.000 0.526
In1 In 0.500 0.500 0.250
Ni2 Ni 0.000 0.000 0.974
Ir1 Ir 0.500 0.500 0.750

=====

Record 3
# InNiIr2, relaxed, DFT PBE-GGA
# * space group: Cmmm, No. 65
data_InNiIr2
_chemical_formula_sum 'In1 Ni1 Ir2'
_cell_length_a 4.631
_cell_length_b 4.631
_cell_length_c 2.915
_cell_angle_alpha 90.00
_cell_angle_beta 90.00
_cell_angle_gamma 104.75
_space_group_name_H-M_alt 'P 1'
_space_group_IT_number 1
loop_
_space_group_symop_operation_xyz
'x,y,z'
loop_
_atom_site_label
_atom_site_type_symbol
_atom_site_fract_x
_atom_site_fract_y
_atom_site_fract_z
Ir1 Ir 0.000 0.000 0.000
In1 In 0.000 0.500 0.500
Ni1 Ni 0.500 0.000 0.500
Ir2 Ir 0.500 0.500 0.000

=====

Record 4
# In2NiIr, relaxed, DFT PBE-GGA
# * space group: R-3m, No. 166
data_In2NiIr
_chemical_formula_sum 'In2 Ni1 Ir1'
_cell_length_a 8.512
_cell_length_b 8.512
_cell_length_c 8.512
_cell_angle_alpha 20.93
_cell_angle_beta 20.93
_cell_angle_gamma 20.93
_space_group_name_H-M_alt 'P 1'
_space_group_IT_number 1
loop_
_space_group_symop_operation_xyz
'x,y,z'
loop_
_atom_site_label
_atom_site_type_symbol
_atom_site_fract_x
_atom_site_fract_y
_atom_site_fract_z
In1 In 0.997 0.997 0.997
Ni1 Ni 0.250 0.250 0.250
Ir1 Ir 0.750 0.750 0.750
In2 In 0.503 0.503 0.503

=====

Record 5
# In2NiIr2, relaxed, DFT PBE-GGA
# * space group: P4/mbm, No. 127
data_In2NiIr2
_chemical_formula_sum 'In4 Ni2 Ir4'
_cell_length_a 6.518
_cell_length_b 6.518
_cell_length_c 4.121
_cell_angle_alpha 90.00
_cell_angle_beta 90.00
_cell_angle_gamma 90.00
_space_group_name_H-M_alt 'P 1'
_space_group_IT_number 1
loop_
_space_group_symop_operation_xyz
'x,y,z'
loop_
_atom_site_label
_atom_site_type_symbol
_atom_site_fract_x
_atom_site_fract_y
_atom_site_fract_z
In1 In 0.671 0.829 0.500
Ir1 Ir 0.863 0.637 0.000
In2 In 0.329 0.171 0.500
Ir2 Ir 0.137 0.363 0.000
Ni1 Ni 0.000 0.000 0.000
Ir3 Ir 0.363 0.863 0.000
Ni2 Ni 0.500 0.500 0.000
Ir4 Ir 0.637 0.137 0.000
In3 In 0.171 0.671 0.500
In4 In 0.829 0.329 0.500

=====

Record 6
# InNi6Ir, relaxed, DFT PBE-GGA
# * space group: Cmmm, No. 65
data_InNi6Ir
_chemical_formula_sum 'In4 Ni24 Ir4'
_cell_length_a 6.376
_cell_length_b 6.376
_cell_length_c 10.428
_cell_angle_alpha 90.00
_cell_angle_beta 90.00
_cell_angle_gamma 109.66
_space_group_name_H-M_alt 'P 1'
_space_group_IT_number 1
loop_
_space_group_symop_operation_xyz
'x,y,z'
loop_
_atom_site_label
_atom_site_type_symbol
_atom_site_fract_x
_atom_site_fract_y
_atom_site_fract_z
Ir1 Ir 0.500 0.500 0.999
Ni1 Ni 0.000 0.000 0.250
Ir2 Ir 0.244 0.756 0.750
Ni2 Ni 0.000 0.000 0.750
In1 In 0.246 0.754 0.250
In2 In 0.000 0.000 0.502
Ni3 Ni 0.745 0.255 0.507
Ni4 Ni 0.384 0.130 0.871
Ni5 Ni 0.135 0.381 0.121
Ni6 Ni 0.616 0.870 0.871
Ni7 Ni 0.381 0.135 0.379
Ni8 Ni 0.619 0.865 0.379
In3 In 0.754 0.246 0.250
Ir3 Ir 0.500 0.500 0.501
Ni9 Ni 0.130 0.384 0.871
Ni10 Ni 0.384 0.130 0.629
Ni11 Ni 0.865 0.619 0.379
Ni12 Ni 0.500 0.500 0.750
Ni13 Ni 0.255 0.745 0.507
Ir4 Ir 0.756 0.244 0.750
Ni14 Ni 0.130 0.384 0.629
Ni15 Ni 0.255 0.745 0.993
Ni16 Ni 0.619 0.865 0.121
Ni17 Ni 0.135 0.381 0.379
Ni18 Ni 0.870 0.616 0.629
Ni19 Ni 0.865 0.619 0.121
Ni20 Ni 0.870 0.616 0.871
In4 In 0.000 0.000 0.998
Ni21 Ni 0.381 0.135 0.121
Ni22 Ni 0.500 0.500 0.250
Ni23 Ni 0.745 0.255 0.993
Ni24 Ni 0.616 0.870 0.629

=====

| no. | formation energy from the elements (kJ/mol of formula units) |
| --- | --- |
| 1 | 28 |
| 2 | 15 |
| 3 | 54 |
| 4 | 40 |
| 5 | 13 |
| 6 | -6 |